Entry one
{
  "formula": "Ce2EuPd",
  "functional": "PBE",
  "state": "relaxed",
  "cell": [[3.714, 0.000, 0.000], [0.000, 3.714, 0.000], [0.000, 0.000, 8.557]],
  "species": ["Ce", "Ce", "Eu", "Pd"],
  "fractional_positions": [[0.000, 0.000, 0.185], [0.000, 0.000, 0.815], [0.500, 0.500, 0.500], [0.500, 0.500, 0.000]]
}

***

Entry two
{
  "formula": "Ce2EuPd",
  "functional": "PBE",
  "state": "relaxed",
  "cell": [[1.829, 1.056, 10.646], [-1.829, 1.056, 10.646], [0.000, -2.111, 10.646]],
  "species": ["Ce", "Ce", "Eu", "Pd"],
  "fractional_positions": [[0.104, 0.104, 0.104], [0.896, 0.896, 0.896], [0.000, 0.000, 0.000], [0.500, 0.500, 0.500]]
}

***

Which is the most stable structure? entry one is the most stable.

***

Entry one
{
  "formula": "CeEuPd",
  "functional": "PBE",
  "state": "relaxed",
  "cell": [[4.773, 0.000, 0.000], [-2.386, 4.133, 0.000], [0.000, 0.000, 4.032]],
  "species": ["Ce", "Eu", "Pd"],
  "fractional_positions": [[0.000, 0.000, 0.000], [0.333, 0.667, 0.586], [0.667, 0.333, 0.258]]
}

***

Entry two
{
  "formula": "CeEuPd",
  "functional": "PBE",
  "state": "relaxed",
  "cell": [[-1.836, 1.836, 6.253], [1.836, -1.836, 6.253], [1.836, 1.836, -6.253]],
  "species": ["Ce", "Eu", "Pd"],
  "fractional_positions": [[0.000, 0.000, 0.000], [0.725, 0.725, 0.000], [0.383, 0.383, 0.000]]
}

***

Which is the most stable structure? entry two is the most stable.

***

Entry one
{
  "formula": "CePrEu2",
  "functional": "PBE",
  "state": "relaxed",
  "cell": [[3.721, 0.000, 0.000], [0.000, 3.721, 0.000], [0.000, 0.000, 10.644]],
  "species": ["Ce", "Pr", "Eu", "Eu"],
  "fractional_positions": [[0.000, 0.000, 0.000], [0.000, 0.000, 0.500], [0.500, 0.500, 0.245], [0.500, 0.500, 0.755]]
}

***

Entry two
{
  "formula": "CePrEu2",
  "functional": "PBE",
  "state": "relaxed",
  "cell": [[1.801, 1.040, 13.057], [-1.801, 1.040, 13.057], [0.000, -2.079, 13.057]],
  "species": ["Ce", "Pr", "Eu", "Eu"],
  "fractional_positions": [[0.000, 0.000, 0.000], [0.500, 0.500, 0.500], [0.086, 0.086, 0.086], [0.914, 0.914, 0.914]]
}

***

Which is the most stable structure? entry one is the most stable.

***

Entry one
{
  "formula": "CeEuPt",
  "functional": "PBE",
  "state": "relaxed",
  "cell": [[4.288, 0.000, 0.000], [-2.144, 3.714, 0.000], [0.000, 0.000, 5.898]],
  "species": ["Ce", "Eu", "Pt"],
  "fractional_positions": [[0.000, 0.000, 0.000], [0.333, 0.667, 0.508], [0.667, 0.333, 0.234]]
}

***

Entry two
{
  "formula": "CeEuPt",
  "functional": "PBE",
  "state": "relaxed",
  "cell": [[0.000, 3.541, 3.541], [3.541, 0.000, 3.541], [3.541, 3.541, 0.000]],
  "species": ["Ce", "Eu", "Pt"],
  "fractional_positions": [[0.000, 0.000, 0.000], [0.500, 0.500, 0.500], [0.750, 0.750, 0.750]]
}

***

Which is the most stable structure? entry two is the most stable.

***

Entry one
{
  "formula": "CeEuPt2",
  "functional": "PBE",
  "state": "relaxed",
  "cell": [[3.589, 0.000, 0.000], [0.000, 3.589, 0.000], [0.000, 0.000, 7.219]],
  "species": ["Ce", "Eu", "Pt", "Pt"],
  "fractional_positions": [[0.000, 0.000, 0.000], [0.000, 0.000, 0.500], [0.500, 0.500, 0.224], [0.500, 0.500, 0.776]]
}

***

Entry two
{
  "formula": "CeEuPt2",
  "functional": "PBE",
  "state": "relaxed",
  "cell": [[0.000, 3.582, 3.582], [3.582, 0.000, 3.582], [3.582, 3.582, 0.000]],
  "species": ["Ce", "Eu", "Pt", "Pt"],
  "fractional_positions": [[0.000, 0.000, 0.000], [0.500, 0.500, 0.500], [0.250, 0.250, 0.250], [0.750, 0.750, 0.750]]
}

***

Which is the most stable structure? entry one is the most stable.

***

Entry one
{
  "formula": "Ce2EuRh",
  "functional": "PBE",
  "state": "relaxed",
  "cell": [[2.404, 1.388, 4.977], [-2.404, 1.388, 4.977], [0.000, -2.776, 4.977]],
  "species": ["Ce", "Ce", "Eu", "Rh"],
  "fractional_positions": [[0.240, 0.240, 0.240], [0.760, 0.760, 0.760], [0.000, 0.000, 0.000], [0.500, 0.500, 0.500]]
}

***

Entry two
{
  "formula": "Ce2EuRh",
  "functional": "PBE",
  "state": "relaxed",
  "cell": [[3.638, 0.000, 0.000], [0.000, 3.638, 0.000], [0.000, 0.000, 8.545]],
  "species": ["Ce", "Ce", "Eu", "Rh"],
  "fractional_positions": [[0.000, 0.000, 0.180], [0.000, 0.000, 0.820], [0.500, 0.500, 0.500], [0.500, 0.500, 0.000]]
}

***

Which is the most stable structure? entry two is the most stable.

***

Entry one
{
  "formula": "CeEuRu",
  "functional": "PBE",
  "state": "relaxed",
  "cell": [[-1.741, 1.741, 6.598], [1.741, -1.741, 6.598], [1.741, 1.741, -6.598]],
  "species": ["Ce", "Eu", "Ru"],
  "fractional_positions": [[0.000, 0.000, 0.000], [0.742, 0.742, 0.000], [0.399, 0.399, 0.000]]
}

***

Entry two
{
  "formula": "CeEuRu",
  "functional": "PBE",
  "state": "relaxed",
  "cell": [[0.000, 3.428, 3.428], [3.428, 0.000, 3.428], [3.428, 3.428, 0.000]],
  "species": ["Ce", "Eu", "Ru"],
  "fractional_positions": [[0.000, 0.000, 0.000], [0.500, 0.500, 0.500], [0.250, 0.250, 0.250]]
}

***

Entry three
{
  "formula": "CeEuRu",
  "functional": "PBE",
  "state": "relaxed",
  "cell": [[4.728, 0.000, 0.000], [-2.364, 4.095, 0.000], [0.000, 0.000, 3.595]],
  "species": ["Ce", "Eu", "Ru"],
  "fractional_positions": [[0.000, 0.000, 0.000], [0.333, 0.667, 0.580], [0.667, 0.333, 0.213]]
}

***

Which is the most stable structure? entry one is the most stable.

***

Entry one
{
  "formula": "CeEuSb2",
  "functional": "PBE",
  "state": "relaxed",
  "cell": [[0.000, 3.895, 3.895], [3.895, 0.000, 3.895], [3.895, 3.895, 0.000]],
  "species": ["Ce", "Eu", "Sb", "Sb"],
  "fractional_positions": [[0.000, 0.000, 0.000], [0.500, 0.500, 0.500], [0.250, 0.250, 0.250], [0.750, 0.750, 0.750]]
}

***

Entry two
{
  "formula": "CeEuSb2",
  "functional": "PBE",
  "state": "relaxed",
  "cell": [[3.896, 0.000, 0.000], [0.000, 3.896, 0.000], [0.000, 0.000, 7.852]],
  "species": ["Ce", "Eu", "Sb", "Sb"],
  "fractional_positions": [[0.000, 0.000, 0.000], [0.000, 0.000, 0.500], [0.500, 0.500, 0.239], [0.500, 0.500, 0.761]]
}

***

Which is the most stable structure? entry two is the most stable.

***

Entry one
{
  "formula": "CeEuSc2",
  "functional": "PBE",
  "state": "relaxed",
  "cell": [[5.537, 0.000, 0.000], [0.000, 5.537, 0.000], [0.000, 0.000, 3.791]],
  "species": ["Ce", "Eu", "Sc", "Sc"],
  "fractional_positions": [[0.000, 0.000, 0.000], [0.500, 0.500, 0.000], [0.000, 0.500, 0.500], [0.500, 0.000, 0.500]]
}

***

Entry two
{
  "formula": "CeEuSc2",
  "functional": "PBE",
  "state": "relaxed",
  "cell": [[3.457, 0.000, 0.000], [0.000, 3.457, 0.000], [0.000, 0.000, 9.686]],
  "species": ["Ce", "Eu", "Sc", "Sc"],
  "fractional_positions": [[0.000, 0.000, 0.000], [0.000, 0.000, 0.500], [0.500, 0.500, 0.226], [0.500, 0.500, 0.774]]
}

***

Which is the most stable structure? entry two is the most stable.

***

Entry one
{
  "formula": "CeEuSi2",
  "functional": "PBE",
  "state": "relaxed",
  "cell": [[0.000, 3.605, 3.605], [3.605, 0.000, 3.605], [3.605, 3.605, 0.000]],
  "species": ["Ce", "Eu", "Si", "Si"],
  "fractional_positions": [[0.000, 0.000, 0.000], [0.500, 0.500, 0.500], [0.250, 0.250, 0.250], [0.750, 0.750, 0.750]]
}

***

Entry two
{
  "formula": "CeEuSi2",
  "functional": "PBE",
  "state": "relaxed",
  "cell": [[3.322, 0.000, 0.000], [0.000, 3.322, 0.000], [0.000, 0.000, 8.205]],
  "species": ["Ce", "Eu", "Si", "Si"],
  "fractional_positions": [[0.000, 0.000, 0.000], [0.000, 0.000, 0.500], [0.500, 0.500, 0.245], [0.500, 0.500, 0.755]]
}

***

Which is the most stable structure? entry two is the most stable.

***

Entry one
{
  "formula": "CeEuSi",
  "functional": "PBE",
  "state": "relaxed",
  "cell": [[0.000, 3.568, 3.568], [3.568, 0.000, 3.568], [3.568, 3.568, 0.000]],
  "species": ["Ce", "Eu", "Si"],
  "fractional_positions": [[0.000, 0.000, 0.000], [0.500, 0.500, 0.500], [0.750, 0.750, 0.750]]
}

***

Entry two
{
  "formula": "CeEuSi",
  "functional": "PBE",
  "state": "relaxed",
  "cell": [[4.759, 0.000, 0.000], [-2.380, 4.122, 0.000], [0.000, 0.000, 3.816]],
  "species": ["Ce", "Eu", "Si"],
  "fractional_positions": [[0.000, 0.000, 0.000], [0.667, 0.333, 0.628], [0.333, 0.667, 0.306]]
}

***

Which is the most stable structure? entry one is the most stable.

***

Entry one
{
  "formula": "CeEu2Sn",
  "functional": "PBE",
  "state": "relaxed",
  "cell": [[0.000, 3.955, 3.955], [3.955, 0.000, 3.955], [3.955, 3.955, 0.000]],
  "species": ["Ce", "Eu", "Eu", "Sn"],
  "fractional_positions": [[0.000, 0.000, 0.000], [0.250, 0.250, 0.250], [0.750, 0.750, 0.750], [0.500, 0.500, 0.500]]
}

***

Entry two
{
  "formula": "CeEu2Sn",
  "functional": "PBE",
  "state": "relaxed",
  "cell": [[4.967, 0.000, 0.000], [0.000, 4.967, 0.000], [0.000, 0.000, 5.031]],
  "species": ["Ce", "Eu", "Eu", "Sn"],
  "fractional_positions": [[0.000, 0.000, 0.000], [0.000, 0.500, 0.500], [0.500, 0.000, 0.500], [0.500, 0.500, 0.000]]
}

***

Which is the most stable structure? entry two is the most stable.